KBeCd2 | PBE | optimized geometry Values from VASP.

The structure in Quantum ESPRESSO input format:
```
&SYSTEM
  ibrav = 0, nat = 8, ntyp = 3
/
ATOMIC_SPECIES
K 39.10 K.upf
Be 9.01 Be.upf
Cd 112.41 Cd.upf
CELL_PARAMETERS angstrom
7.897 0.000 0.000
0.000 4.557 0.000
-2.616 0.000 6.274
ATOMIC_POSITIONS crystal
K 0.000 0.000 0.000
K 0.500 0.500 0.000
Be 0.000 0.500 0.500
Be 0.500 0.000 0.500
Cd 0.191 0.000 0.574
Cd 0.309 0.500 0.426
Cd 0.691 0.500 0.574
Cd 0.809 0.000 0.426
```

Properties
- space group = C2/m (12)
- DFT total energy (eV per atom) = -1.448


KBeCd4 | PBE | optimized geometry Values from VASP.

The structure in Quantum ESPRESSO input format:
```
&SYSTEM
  ibrav = 0, nat = 6, ntyp = 3
/
ATOMIC_SPECIES
K 39.10 K.upf
Be 9.01 Be.upf
Cd 112.41 Cd.upf
CELL_PARAMETERS angstrom
0.000 4.212 4.212
4.212 0.000 4.212
4.212 4.212 0.000
ATOMIC_POSITIONS crystal
K 0.000 0.000 0.000
Be 0.750 0.750 0.750
Cd 0.376 0.376 0.376
Cd 0.376 0.376 0.873
Cd 0.376 0.873 0.376
Cd 0.873 0.376 0.376
```

Properties
- space group = F-43m (216)
- DFT total energy (eV per atom) = -1.028


KBeCdMo2 | PBE | optimized geometry Values from VASP.

The structure in Quantum ESPRESSO input format:
```
&SYSTEM
  ibrav = 0, nat = 5, ntyp = 4
/
ATOMIC_SPECIES
K 39.10 K.upf
Be 9.01 Be.upf
Cd 112.41 Cd.upf
Mo 95.94 Mo.upf
CELL_PARAMETERS angstrom
5.419 0.000 0.000
0.000 5.419 0.000
0.000 0.000 4.631
ATOMIC_POSITIONS crystal
K 0.000 0.000 0.000
Be 0.500 0.500 0.000
Cd 0.500 0.500 0.500
Mo 0.000 0.500 0.500
Mo 0.500 0.000 0.500
```

Properties
- space group = P4/mmm (123)
- DFT total energy (eV per atom) = -3.518


What are the calculated volume values for these records? In order: 113, 149, 136 Å³/f.u..
What are the total magnetization values for these records? In order: 0.00, 0.00, 1.54 μB per atom.